Entry w
The following is a GGA-PBE calculation of a relaxed Dy6YEr4 crystal, from Alexandria.

Cell lengths 5.567, 5.567, 25.499 Å; angles 90.00, 90.00, 118.81 degrees
Element x y z (fractional)
Dy 0.000 0.000 0.000
Dy 0.000 0.000 0.500
Dy 0.025 0.975 0.750
Dy 0.309 0.691 0.103
Dy 0.309 0.691 0.397
Dy 0.359 0.641 0.681
Dy 0.359 0.641 0.819
Dy 0.641 0.359 0.181
Dy 0.641 0.359 0.319
Dy 0.691 0.309 0.603
Dy 0.691 0.309 0.897
Dy 0.975 0.025 0.250
Y 0.310 0.690 0.250
Y 0.690 0.310 0.750
Er 0.029 0.971 0.622
Er 0.029 0.971 0.878
Er 0.343 0.657 0.543
Er 0.343 0.657 0.957
Er 0.657 0.343 0.043
Er 0.657 0.343 0.457
Er 0.971 0.029 0.122
Er 0.971 0.029 0.378

---

Entry x
The following is a GGA-PBE calculation of a relaxed Dy6YEr4 crystal, from Alexandria.

Cell lengths 8.482, 8.482, 8.482 Å; angles 127.62, 127.62, 77.23 degrees
Element x y z (fractional)
Dy 0.000 0.500 0.500
Dy 0.050 0.577 0.000
Dy 0.423 0.423 0.473
Dy 0.500 0.000 0.500
Dy 0.577 0.050 0.000
Dy 0.950 0.950 0.527
Y 0.000 0.000 0.000
Er 0.258 0.258 0.674
Er 0.416 0.742 0.000
Er 0.584 0.584 0.326
Er 0.742 0.416 0.000

---

Most stable one: entry w, least stable one: entry x.

---

Entry w
The following is a GGA-PBE calculation of a relaxed Dy5Y2Er12 crystal, from Alexandria.

Cell lengths 6.103, 9.329, 10.567 Å; angles 101.01, 95.58, 90.06 degrees
Element x y z (fractional)
Dy 0.000 0.000 0.000
Dy 0.158 0.632 0.947
Dy 0.262 0.053 0.579
Dy 0.738 0.947 0.421
Dy 0.842 0.368 0.053
Y 0.421 0.684 0.526
Y 0.579 0.316 0.474
Er 0.053 0.211 0.315
Er 0.104 0.421 0.632
Er 0.211 0.843 0.263
Er 0.315 0.263 0.895
Er 0.369 0.474 0.209
Er 0.474 0.895 0.843
Er 0.526 0.105 0.157
Er 0.631 0.526 0.791
Er 0.685 0.737 0.105
Er 0.789 0.157 0.737
Er 0.896 0.579 0.368
Er 0.947 0.789 0.685

---

Entry x
The following is a GGA-PBE calculation of a relaxed Dy5Y2Er12 crystal, from Alexandria.

Cell lengths 9.157, 9.157, 10.654 Å; angles 100.95, 100.95, 44.93 degrees
Element x y z (fractional)
Dy 0.000 0.000 0.000
Dy 0.223 0.223 0.494
Dy 0.233 0.233 0.994
Dy 0.767 0.767 0.006
Dy 0.777 0.777 0.506
Y 0.263 0.737 0.500
Y 0.737 0.263 0.500
Er 0.040 0.040 0.752
Er 0.089 0.548 0.277
Er 0.129 0.616 0.776
Er 0.384 0.871 0.224
Er 0.448 0.448 0.125
Er 0.452 0.911 0.723
Er 0.548 0.089 0.277
Er 0.552 0.552 0.875
Er 0.616 0.129 0.776
Er 0.871 0.384 0.224
Er 0.911 0.452 0.723
Er 0.960 0.960 0.248

---

Most stable one: entry w, least stable one: entry x.

---

Entry w
The following is a GGA-PBE calculation of a relaxed Dy3Y6Er crystal, from Alexandria.

Cell lengths 11.536, 11.536, 6.381 Å; angles 90.00, 90.00, 130.68 degrees
Element x y z (fractional)
Dy 0.080 0.920 0.500
Dy 0.205 0.460 0.104
Dy 0.460 0.205 0.604
Dy 0.540 0.795 0.104
Dy 0.795 0.540 0.604
Dy 0.920 0.080 0.000
Y 0.042 0.605 0.266
Y 0.121 0.242 0.524
Y 0.199 0.801 0.805
Y 0.242 0.121 0.024
Y 0.395 0.958 0.266
Y 0.485 0.515 0.774
Y 0.515 0.485 0.274
Y 0.605 0.042 0.766
Y 0.758 0.879 0.524
Y 0.801 0.199 0.305
Y 0.879 0.758 0.024
Y 0.958 0.395 0.766
Er 0.339 0.661 0.575
Er 0.661 0.339 0.075

---

Entry x
The following is a GGA-PBE calculation of a relaxed Dy3Y6Er crystal, from Alexandria.

Cell lengths 10.940, 10.940, 6.249 Å; angles 90.00, 90.00, 119.84 degrees
Element x y z (fractional)
Dy 0.111 0.889 0.500
Dy 0.219 0.439 0.118
Dy 0.439 0.219 0.618
Dy 0.561 0.781 0.118
Dy 0.781 0.561 0.618
Dy 0.889 0.111 0.000
Y 0.036 0.453 0.713
Y 0.119 0.210 0.532
Y 0.210 0.119 0.032
Y 0.220 0.780 0.919
Y 0.453 0.036 0.213
Y 0.453 0.547 0.664
Y 0.547 0.453 0.164
Y 0.547 0.964 0.713
Y 0.780 0.220 0.419
Y 0.790 0.881 0.532
Y 0.881 0.790 0.032
Y 0.964 0.547 0.213
Er 0.294 0.706 0.424
Er 0.706 0.294 0.924

---

Most stable one: entry w, least stable one: entry x.

---

Entry w
The following is a GGA-PBE calculation of a relaxed DyErZn4 crystal, from Alexandria.

Cell lengths 3.807, 3.723, 9.670 Å; angles 90.00, 90.11, 90.00 degrees
Element x y z (fractional)
Dy 0.000 0.000 0.000
Er 0.498 0.500 0.500
Zn 0.499 0.000 0.750
Zn 0.500 0.000 0.250
Zn 0.998 0.500 0.253
Zn 0.999 0.500 0.747

---

Entry x
The following is a GGA-PBE calculation of a relaxed DyErZn4 crystal, from Alexandria.

Cell lengths 5.441, 5.441, 5.441 Å; angles 60.00, 60.00, 60.00 degrees
Element x y z (fractional)
Dy 0.000 0.000 0.000
Er 0.750 0.750 0.750
Zn 0.375 0.375 0.375
Zn 0.375 0.375 0.875
Zn 0.375 0.875 0.375
Zn 0.875 0.375 0.375

---

Entry y
The following is a GGA-PBE calculation of a relaxed DyErZn4 crystal, from Alexandria.

Cell lengths 4.484, 6.921, 7.727 Å; angles 90.00, 90.00, 90.00 degrees
Element x y z (fractional)
Dy 0.000 0.000 0.000
Dy 0.500 0.500 0.500
Er 0.000 0.500 0.000
Er 0.500 0.000 0.500
Zn 0.000 0.250 0.333
Zn 0.000 0.250 0.667
Zn 0.000 0.750 0.333
Zn 0.000 0.750 0.667
Zn 0.500 0.250 0.167
Zn 0.500 0.250 0.833
Zn 0.500 0.750 0.167
Zn 0.500 0.750 0.833

---

Most stable one: entry y, least stable one: entry w.

---

Entry w
The following is a GGA-PBE calculation of a relaxed Dy3Er2Zn2 crystal, from Alexandria.

Cell lengths 3.531, 30.290, 3.505 Å; angles 90.00, 90.00, 90.00 degrees
Element x y z (fractional)
Dy 0.000 0.000 0.000
Dy 0.000 0.119 0.000
Dy 0.000 0.881 0.000
Dy 0.500 0.381 0.000
Dy 0.500 0.500 0.000
Dy 0.500 0.619 0.000
Er 0.000 0.299 0.500
Er 0.000 0.701 0.500
Er 0.500 0.201 0.500
Er 0.500 0.799 0.500
Zn 0.000 0.441 0.500
Zn 0.000 0.559 0.500
Zn 0.500 0.059 0.500
Zn 0.500 0.941 0.500

---

Entry x
The following is a GGA-PBE calculation of a relaxed Dy3Er2Zn2 crystal, from Alexandria.

Cell lengths 12.850, 3.654, 8.947 Å; angles 90.00, 115.69, 90.00 degrees
Element x y z (fractional)
Dy 0.000 0.000 0.000
Dy 0.111 0.000 0.441
Dy 0.389 0.500 0.559
Dy 0.500 0.500 0.000
Dy 0.611 0.500 0.441
Dy 0.889 0.000 0.559
Er 0.148 0.500 0.812
Er 0.352 0.000 0.188
Er 0.648 0.000 0.812
Er 0.852 0.500 0.188
Zn 0.180 0.500 0.223
Zn 0.320 0.000 0.777
Zn 0.680 0.000 0.223
Zn 0.820 0.500 0.777

---

Most stable one: entry x, least stable one: entry w.

---

Entry w
The following is a GGA-PBE calculation of a relaxed Dy2Er3Zn2 crystal, from Alexandria.

Cell lengths 3.497, 3.485, 15.316 Å; angles 90.00, 96.55, 90.00 degrees
Element x y z (fractional)
Dy 0.200 0.000 0.401
Dy 0.800 0.000 0.599
Er 0.383 0.500 0.764
Er 0.500 0.500 0.000
Er 0.617 0.500 0.236
Zn 0.057 0.000 0.116
Zn 0.943 0.000 0.884

---

Entry x
The following is a GGA-PBE calculation of a relaxed Dy2Er3Zn2 crystal, from Alexandria.

Cell lengths 11.103, 4.681, 8.032 Å; angles 90.00, 115.54, 90.00 degrees
Element x y z (fractional)
Dy 0.135 0.000 0.287
Dy 0.365 0.500 0.713
Dy 0.635 0.500 0.287
Dy 0.865 0.000 0.713
Er 0.000 0.500 0.500
Er 0.134 0.500 0.959
Er 0.366 0.000 0.041
Er 0.500 0.000 0.500
Er 0.634 0.000 0.959
Er 0.866 0.500 0.041
Zn 0.151 0.000 0.687
Zn 0.349 0.500 0.313
Zn 0.651 0.500 0.687
Zn 0.849 0.000 0.313

---

Most stable one: entry w, least stable one: entry x.

---

Entry w
The following is a GGA-PBE calculation of a relaxed DyErZr2 crystal, from Alexandria.

Cell lengths 3.925, 3.925, 6.837 Å; angles 90.00, 90.00, 90.00 degrees
Element x y z (fractional)
Dy 0.000 0.000 0.000
Er 0.000 0.000 0.500
Zr 0.500 0.500 0.270
Zr 0.500 0.500 0.730

---

Entry x
The following is a GGA-PBE calculation of a relaxed DyErZr2 crystal, from Alexandria.

Cell lengths 4.692, 4.692, 4.792 Å; angles 90.00, 90.00, 90.00 degrees
Element x y z (fractional)
Dy 0.000 0.000 0.000
Er 0.500 0.500 0.000
Zr 0.000 0.500 0.500
Zr 0.500 0.000 0.500

---

Most stable one: entry x, least stable one: entry w.

---

Entry w
The following is a GGA-PBE calculation of a relaxed Dy2Er6Zr crystal, from Alexandria.

Cell lengths 7.511, 7.511, 7.511 Å; angles 57.76, 57.76, 57.76 degrees
Element x y z (fractional)
Dy 0.000 0.000 0.000
Dy 0.175 0.175 0.175
Er 0.143 0.707 0.707
Er 0.495 0.495 0.985
Er 0.495 0.985 0.495
Er 0.707 0.143 0.707
Er 0.707 0.707 0.143
Er 0.985 0.495 0.495
Zr 0.444 0.444 0.444

---

Entry x
The following is a GGA-PBE calculation of a relaxed Dy2Er6Zr crystal, from Alexandria.

Cell lengths 6.496, 8.181, 11.172 Å; angles 102.31, 101.76, 103.93 degrees
Element x y z (fractional)
Dy 0.225 0.182 0.055
Dy 0.253 0.851 0.810
Dy 0.747 0.149 0.190
Dy 0.775 0.818 0.945
Er 0.046 0.300 0.500
Er 0.093 0.942 0.303
Er 0.195 0.534 0.278
Er 0.293 0.760 0.075
Er 0.329 0.436 0.824
Er 0.485 0.692 0.596
Er 0.515 0.308 0.404
Er 0.671 0.564 0.176
Er 0.707 0.240 0.925
Er 0.805 0.466 0.722
Er 0.907 0.058 0.697
Er 0.954 0.700 0.500
Zr 0.397 0.082 0.614
Zr 0.603 0.918 0.386

---

Most stable one: entry x, least stable one: entry w.

---

Entry w
The following is a GGA-PBE calculation of a relaxed DyEr4Zr crystal, from Alexandria.

Cell lengths 8.298, 8.298, 6.202 Å; angles 100.13, 100.13, 116.08 degrees
Element x y z (fractional)
Dy 0.093 0.907 0.750
Dy 0.907 0.093 0.250
Er 0.094 0.326 0.866
Er 0.218 0.593 0.460
Er 0.326 0.094 0.366
Er 0.407 0.782 0.040
Er 0.593 0.218 0.960
Er 0.674 0.906 0.634
Er 0.782 0.407 0.540
Er 0.906 0.674 0.134
Zr 0.497 0.503 0.250
Zr 0.503 0.497 0.750

---

Entry x
The following is a GGA-PBE calculation of a relaxed DyEr4Zr crystal, from Alexandria.

Cell lengths 3.447, 6.960, 7.684 Å; angles 103.06, 102.93, 90.15 degrees
Element x y z (fractional)
Dy 0.000 0.000 0.000
Er 0.338 0.179 0.677
Er 0.340 0.660 0.679
Er 0.660 0.340 0.321
Er 0.662 0.821 0.323
Zr 0.000 0.500 0.000

---

Most stable one: entry x, least stable one: entry w.

---

Entry w
The following is a GGA-PBE calculation of a relaxed EuDy3 crystal, from Alexandria.

Cell lengths 5.088, 5.088, 5.088 Å; angles 90.00, 90.00, 90.00 degrees
Element x y z (fractional)
Eu 0.000 0.000 0.000
Dy 0.000 0.500 0.500
Dy 0.500 0.000 0.500
Dy 0.500 0.500 0.000

---

Entry x
The following is a GGA-PBE calculation of a relaxed EuDy3 crystal, from Alexandria.

Cell lengths 3.632, 5.787, 6.348 Å; angles 90.00, 90.00, 90.00 degrees
Element x y z (fractional)
Eu 0.000 0.000 0.000
Dy 0.000 0.500 0.662
Dy 0.500 0.000 0.498
Dy 0.500 0.500 0.175

---

Most stable one: entry x, least stable one: entry w.